Record 1
Compound: Dy2CrN4
Source: Alexandria
Functional: PBE
Structure: optimized geometry

Unit cell a=5.507 b=5.459 c=6.623 alpha=90.00 beta=108.09 gamma=90.00
Fractional positions:
N 0.950 0.250 0.647
N 0.468 0.505 0.257
N 0.532 0.005 0.743
N 0.468 0.995 0.257
N 0.050 0.750 0.353
N 0.532 0.495 0.743
N 0.918 0.250 0.067
N 0.082 0.750 0.933
Dy 0.301 0.250 0.964
Dy 0.769 0.750 0.563
Dy 0.231 0.250 0.437
Dy 0.699 0.750 0.036
Cr 0.254 0.750 0.198
Cr 0.746 0.250 0.802

Output
Uncorrected formation energy ... -7.8 eV/f.u.
Total energy ... -8.563 eV per atom
SG ... P2_1/m

---

Record 2
Compound: Dy3Cr5N12
Source: Alexandria
Functional: PBE
Structure: optimized geometry

Unit cell a=10.622 b=10.622 c=10.622 alpha=109.47 beta=109.47 gamma=109.47
Site moments in Bohr magnetons follow the coordinates.
Fractional positions:
N 0.198 0.512 0.613  -0.07
N 0.698 0.584 0.186  -0.07
N 0.101 0.186 0.488  -0.07
N 0.887 0.584 0.899  -0.07
N 0.988 0.387 0.302  -0.07
N 0.899 0.814 0.512  -0.07
N 0.113 0.416 0.101  -0.07
N 0.802 0.314 0.916  -0.07
N 0.584 0.698 0.686  -0.07
N 0.601 0.988 0.686  -0.07
N 0.387 0.399 0.084  -0.07
N 0.084 0.186 0.198  -0.07
N 0.814 0.916 0.302  -0.07
N 0.698 0.113 0.012  -0.07
N 0.387 0.988 0.802  -0.07
N 0.887 0.302 0.488  -0.07
N 0.916 0.814 0.802  -0.07
N 0.686 0.488 0.601  -0.07
N 0.686 0.198 0.584  -0.07
N 0.186 0.101 0.988  -0.07
N 0.416 0.302 0.314  -0.07
N 0.314 0.512 0.399  -0.07
N 0.084 0.899 0.387  -0.07
N 0.512 0.314 0.899  -0.07
N 0.488 0.802 0.887  -0.07
N 0.302 0.416 0.814  -0.07
N 0.399 0.387 0.584  -0.07
N 0.416 0.113 0.601  -0.07
N 0.802 0.488 0.387  -0.07
N 0.302 0.887 0.988  -0.07
N 0.584 0.887 0.399  -0.07
N 0.399 0.012 0.314  -0.07
N 0.012 0.399 0.814  -0.07
N 0.988 0.601 0.186  -0.07
N 0.198 0.686 0.084  -0.07
N 0.012 0.613 0.698  -0.07
N 0.113 0.698 0.512  -0.07
N 0.601 0.613 0.416  -0.07
N 0.613 0.012 0.198  -0.07
N 0.916 0.101 0.613  -0.07
N 0.512 0.198 0.113  -0.07
N 0.814 0.899 0.012  -0.07
N 0.186 0.084 0.698  -0.07
N 0.613 0.601 0.916  -0.07
N 0.899 0.084 0.887  -0.07
N 0.101 0.916 0.113  -0.07
N 0.488 0.686 0.101  -0.07
N 0.314 0.802 0.416  -0.07
Dy 0.125 0.875 0.750  -0.02
Dy 0.125 0.250 0.875  -0.02
Dy 0.750 0.875 0.625  -0.02
Dy 0.875 0.750 0.125  -0.02
Dy 0.375 0.625 0.250  -0.02
Dy 0.875 0.125 0.250  -0.02
Dy 0.625 0.250 0.375  -0.02
Dy 0.250 0.625 0.875  -0.02
Dy 0.625 0.375 0.750  -0.02
Dy 0.375 0.750 0.625  -0.02
Dy 0.250 0.125 0.375  -0.02
Dy 0.750 0.375 0.125  -0.02
Cr 0.625 0.875 0.250  0.28
Cr 0.750 0.625 0.375  0.28
Cr 0.000 0.000 0.500  1.57
Cr 0.875 0.250 0.625  0.28
Cr 0.000 0.000 0.000  1.57
Cr 0.250 0.375 0.625  0.28
Cr 0.375 0.250 0.125  0.28
Cr 0.750 0.125 0.875  0.28
Cr 0.500 0.000 0.000  1.57
Cr 0.500 0.000 0.500  1.57
Cr 0.125 0.750 0.375  0.28
Cr 0.500 0.500 0.000  1.57
Cr 0.250 0.875 0.125  0.28
Cr 0.625 0.750 0.875  0.28
Cr 0.500 0.500 0.500  1.57
Cr 0.000 0.500 0.000  1.57
Cr 0.375 0.125 0.750  0.28
Cr 0.875 0.625 0.750  0.28
Cr 0.125 0.375 0.250  0.28
Cr 0.000 0.500 0.500  1.57

Output
Uncorrected formation energy ... -13.0 eV/f.u.
D(E_F) ... 6.65 states/eV/f.u.
Total energy ... -8.743 eV per atom
SG ... Ia-3d

---

Record 3
Compound: DyCrN2
Source: Alexandria
Functional: PBE
Structure: optimized geometry

Unit cell a=3.245 b=3.245 c=5.398 alpha=72.51 beta=72.51 gamma=60.00
Site moments in Bohr magnetons follow the coordinates.
Fractional positions:
Cr 0.000 0.000 0.000  2.62
N 0.262 0.262 0.214  -0.04
N 0.738 0.738 0.786  -0.04
Dy 0.500 0.500 0.500  -0.02

Output
Uncorrected formation energy ... -3.9 eV/f.u.
D(E_F) ... 2.15 states/eV/f.u.
Total energy ... -8.703 eV per atom
SG ... R-3m

---

Record 4
Compound: Dy2NbCrN5
Source: Alexandria
Functional: PBE
Structure: optimized geometry

Unit cell a=3.232 b=6.778 c=10.030 alpha=90.00 beta=90.00 gamma=103.79
Site moments in Bohr magnetons follow the coordinates.
Fractional positions:
Cr 0.524 0.047 0.959  0.29
Cr 0.476 0.953 0.459  0.29
N 0.286 0.573 0.654  0.00
N 0.041 0.082 0.041  -0.03
N 0.680 0.361 0.874  0.00
N 0.959 0.918 0.541  -0.03
N 0.492 0.983 0.788  0.02
N 0.320 0.639 0.374  0.00
N 0.508 0.017 0.288  0.02
N 0.633 0.266 0.501  0.00
N 0.367 0.734 0.001  0.00
N 0.714 0.427 0.154  0.00
Nb 0.783 0.566 0.511  -0.01
Nb 0.217 0.434 0.011  -0.01
Dy 0.141 0.283 0.301  0.01
Dy 0.889 0.778 0.196  0.02
Dy 0.859 0.717 0.801  0.01
Dy 0.111 0.222 0.696  0.02

Output
Uncorrected formation energy ... -10.1 eV/f.u.
D(E_F) ... 2.49 states/eV/f.u.
Total energy ... -8.961 eV per atom
SG ... Cmc2_1

---

What did the first record say?
Compound: Dy2CrN4
Source: Alexandria
Functional: PBE
Structure: optimized geometry

Unit cell a=5.507 b=5.459 c=6.623 alpha=90.00 beta=108.09 gamma=90.00
Fractional positions:
N 0.950 0.250 0.647
N 0.468 0.505 0.257
N 0.532 0.005 0.743
N 0.468 0.995 0.257
N 0.050 0.750 0.353
N 0.532 0.495 0.743
N 0.918 0.250 0.067
N 0.082 0.750 0.933
Dy 0.301 0.250 0.964
Dy 0.769 0.750 0.563
Dy 0.231 0.250 0.437
Dy 0.699 0.750 0.036
Cr 0.254 0.750 0.198
Cr 0.746 0.250 0.802

Output
Uncorrected formation energy ... -7.8 eV/f.u.
Total energy ... -8.563 eV per atom
SG ... P2_1/m